The following is a DFT calculation (PBE) of ReBrF4 after structural relaxation.

Output
* formation energy without anion corrections: -1.6012 eV/atom
* spin magnetization: 1.948 μB/f.u.
* density of states at the Fermi level: 0.487 states/eV/atom
* crystal system: monoclinic

The structure in POSCAR format:
```
ReBrF4
1.0
-7.1094 -5.6921 0.3579
-5.0471 -8.1731 4.3916
-2.6532 3.5358 3.5312
Re Br F
2 2 8
direct
0.0000 0.0000 0.0000
0.0000 0.5000 0.5000
0.5000 0.5000 0.0000
0.5000 0.0000 0.5000
0.1064 0.9970 0.7128
0.8936 0.5030 0.2128
0.1844 0.4942 0.3340
0.8156 0.0058 0.8340
0.8936 0.0030 0.2872
0.1064 0.4970 0.7872
0.8156 0.5058 0.6660
0.1844 0.9942 0.1660
```